Entry from Alexandria via LeMat-Bulk: an optimized crystal structure of Zr2CdNi (PBE-GGA).

The space group is P4mm (No. 99) and the conventional cell measures 3.271, 3.271 and 7.271 Å, with angles of 90.00, 90.00 and 90.00 degrees. The distinct sites, in fractional coordinates, are Zr at (0.000, 0.000, 0.000), Zr at (0.500, 0.500, 0.291), Cd at (0.000, 0.000, 0.580) and Ni at (0.500, 0.500, 0.807).

For the density of states at the Fermi level, the calculation gives 0.64 states/eV/atom. The value obtained for the total energy is -6.13 eV/atom. The calculated volume comes out at 77.8 Å³/cell. The value obtained for the calculated formation energy is -185 meV/atom.

---

Entry from Alexandria via LeMat-Bulk: an optimized crystal structure of ZrCd2Ni (PBE-GGA).

The space group is Cmmm (No. 65) and the conventional cell measures 5.676, 9.499 and 2.854 Å, with angles of 90.00, 90.00 and 90.00 degrees. The distinct sites, in fractional coordinates, are Zr at (0.000, 0.000, 0.000), Cd at (0.250, 0.250, 0.500) and Ni at (0.000, 0.500, 0.000).

For the density of states at the Fermi level, the calculation gives 0.95 states/eV/atom. The value obtained for the total energy is -3.89 eV/atom. The calculated volume comes out at 153.9 Å³/cell. The value obtained for the calculated formation energy is 153 meV/atom.

---

Entry from Alexandria via LeMat-Bulk: an optimized crystal structure of ZrCd2Ni (PBE-GGA).

The space group is Cm (No. 8) and the conventional cell measures 9.673, 3.158 and 5.391 Å, with angles of 90.00, 109.62 and 90.00 degrees. The distinct sites, in fractional coordinates, are Zr at (0.000, 0.000, 0.000), Cd at (0.065, 0.500, 0.551), Cd at (0.290, 0.500, 0.328) and Ni at (0.274, 0.000, 0.891).

For the density of states at the Fermi level, the calculation gives 0.53 states/eV/atom. The value obtained for the total energy is -4.05 eV/atom. The calculated volume comes out at 155.1 Å³/cell. The value obtained for the calculated formation energy is -8 meV/atom.

---

Entry from Alexandria via LeMat-Bulk: an optimized crystal structure of ZrCdNi (PBE-GGA).

The space group is C2/m (No. 12) and the conventional cell measures 9.901, 3.531 and 7.367 Å, with angles of 90.00, 121.59 and 90.00 degrees. The distinct sites, in fractional coordinates, are Zr at (0.078, 0.000, 0.350), Cd at (0.163, 0.500, 0.063) and Ni at (0.135, 0.500, 0.647).

For the density of states at the Fermi level, the calculation gives 0.65 states/eV/atom. The value obtained for the total energy is -5.35 eV/atom. The calculated volume comes out at 219.4 Å³/cell. The value obtained for the calculated formation energy is -271 meV/atom.

---

Entry from Alexandria via LeMat-Bulk: an optimized crystal structure of ZrCdNi (PBE-GGA).

The space group is C2/m (No. 12) and the conventional cell measures 12.710, 3.588 and 5.004 Å, with angles of 90.00, 102.38 and 90.00 degrees. The distinct sites, in fractional coordinates, are Zr at (0.146, 0.000, 0.322), Cd at (0.066, 0.500, 0.782) and Ni at (0.232, 0.000, 0.838).

For the density of states at the Fermi level, the calculation gives 0.83 states/eV/atom. The value obtained for the total energy is -5.33 eV/atom. The calculated volume comes out at 222.9 Å³/cell. The value obtained for the calculated formation energy is -248 meV/atom.

---

Entry from Alexandria via LeMat-Bulk: an optimized crystal structure of Zr2CdNi2 (PBE-GGA).

The space group is I4/mmm (No. 139) and the conventional cell measures 4.731, 4.731 and 8.520 Å, with angles of 90.00, 90.00 and 90.00 degrees. The distinct sites, in fractional coordinates, are Zr at (0.000, 0.500, 0.250), Cd at (0.000, 0.000, 0.000) and Ni at (0.000, 0.000, 0.372).

For the density of states at the Fermi level, the calculation gives 0.24 states/eV/atom. The value obtained for the total energy is -6.04 eV/atom. The calculated volume comes out at 190.7 Å³/cell. The value obtained for the calculated formation energy is -126 meV/atom.

---

Entry from Alexandria via LeMat-Bulk: an optimized crystal structure of ZrCd4Ni (PBE-GGA).

The space group is F-43m (No. 216) and the conventional cell measures 7.907, 7.907 and 7.907 Å, with angles of 90.00, 90.00 and 90.00 degrees. The distinct sites, in fractional coordinates, are Zr at (0.000, 0.000, 0.000), Cd at (0.125, 0.125, 0.625) and Ni at (0.250, 0.250, 0.250).

For the density of states at the Fermi level, the calculation gives 0.79 states/eV/atom. The value obtained for the total energy is -2.70 eV/atom. The calculated volume comes out at 494.3 Å³/cell. The value obtained for the calculated formation energy is 300 meV/atom.

---

Entry from Alexandria via LeMat-Bulk: an optimized crystal structure of ZrCdNi2 (PBE-GGA).

The space group is P4/mmm (No. 123) and the conventional cell measures 4.511, 4.511 and 3.121 Å, with angles of 90.00, 90.00 and 90.00 degrees. The distinct sites, in fractional coordinates, are Zr at (0.000, 0.000, 0.000), Cd at (0.500, 0.500, 0.000) and Ni at (0.000, 0.500, 0.500).

For the density of states at the Fermi level, the calculation gives 1.05 states/eV/atom. The value obtained for the total energy is -5.40 eV/atom. The calculated volume comes out at 63.5 Å³/cell. The value obtained for the calculated formation energy is -142 meV/atom.